CuS: relaxed, PBE.

a b c (Å): 3.7915 3.7915 16.4175
angles (deg): 90.00 90.00 120.00
With the nearest neighbours (Å) after each atom.
Sites, in units of the cell vectors:
Cu 0.6667 0.3333 0.8930  4 S 2.30-2.35
Cu 0.3333 0.6667 0.3930  4 S 2.30-2.35
Cu 0.6667 0.3333 0.2500  3 S 2.19
Cu 0.6667 0.3333 0.6070  4 S 2.30-2.35
Cu 0.3333 0.6667 0.7500  3 S 2.19
Cu 0.3333 0.6667 0.1070  4 S 2.30-2.35
S 0.0000 0.0000 0.0641  1 S 2.10, 3 Cu 2.30
S 0.0000 0.0000 0.5641  1 S 2.10, 3 Cu 2.30
S 0.6667 0.3333 0.7500  5 Cu 2.19-2.35
S 0.3333 0.6667 0.2500  5 Cu 2.19-2.35
S 0.0000 0.0000 0.4359  1 S 2.10, 3 Cu 2.30
S 0.0000 0.0000 0.9359  1 S 2.10, 3 Cu 2.30

CuS: relaxed, PBE.

a b c (Å): 3.4263 3.4262 2.9548
angles (deg): 90.00 90.00 120.00
With the nearest neighbours (Å) after each atom.
Sites, in units of the cell vectors:
Cu 0.6667 0.3333 0.7500  6 S 2.47
S 0.3333 0.6667 0.2500  6 Cu 2.47

Cu2S: relaxed, PBE.

a b c (Å): 3.9339 3.9339 3.9339
angles (deg): 120.00 90.00 120.00
With the nearest neighbours (Å) after each atom.
Sites, in units of the cell vectors:
Cu 0.7500 0.5000 0.2500  4 S 2.41
Cu 0.2500 0.5000 0.7500  4 S 2.41
S 0.0000 0.0000 0.0000  8 Cu 2.41

CuS: relaxed, PBE.

a b c (Å): 3.6504 3.6504 18.1939
angles (deg): 90.00 90.00 120.00
With the nearest neighbours (Å) after each atom.
Sites, in units of the cell vectors:
S 0.3333 0.6667 0.9570  4 Cu 2.24-2.25
S 0.6667 0.3333 0.7914  4 Cu 2.24-2.25
S 0.0000 0.0000 0.6245  4 Cu 2.25-2.26
S 0.6667 0.3333 0.4570  4 Cu 2.24-2.25
S 0.0000 0.0000 0.1245  4 Cu 2.25-2.26
S 0.3333 0.6667 0.2914  4 Cu 2.24-2.25
Cu 0.6667 0.3333 0.3339  4 S 2.24
Cu 0.6667 0.3333 0.6679  4 S 2.25
Cu 0.0000 0.0000 0.0004  4 S 2.25-2.26
Cu 0.3333 0.6667 0.1679  4 S 2.25
Cu 0.0000 0.0000 0.5004  4 S 2.25-2.26
Cu 0.3333 0.6667 0.8339  4 S 2.24

Cu2S: relaxed, PBE.

a b c (Å): 3.9551 3.9551 3.9551
angles (deg): 120.00 90.00 120.00
With the nearest neighbours (Å) after each atom.
Sites, in units of the cell vectors:
Cu 0.5000 0.0000 0.5000  4 Cu 2.42
Cu 0.7500 0.5000 0.2500  4 S 2.42, 4 Cu 2.42
S 0.0000 0.0000 0.0000  4 Cu 2.42

CuS: relaxed, PBE.

a b c (Å): 3.5615 3.5615 5.3761
angles (deg): 90.00 90.00 120.00
With the nearest neighbours (Å) after each atom.
Sites, in units of the cell vectors:
Cu 0.0000 0.0000 0.0000  6 S 2.46, 2 Cu 2.69
Cu 0.0000 0.0000 0.5000  6 S 2.46, 2 Cu 2.69
S 0.3333 0.6667 0.2500  6 Cu 2.46
S 0.6667 0.3333 0.7500  6 Cu 2.46

Respective VASP energy values: -4.12, -3.81, -3.91, -4.09, -3.78, -3.95 eV/atom.